Here is a relaxed LaVN2F crystal from the Alexandria database. Energies are from PBE with a Hubbard U.

SG: P4/mmm
Excess energy over the best structure of this formula in the dataset in eV/f.u.: 7.07
DOS at the Fermi energy in states/eV/f.u.: 2.35
Total energy in eV for the cell shown: -30.65

abc: 4.4645 4.4645 4.5185
angles: 90.00 90.00 90.00
Last column: nearest neighbours and their distance in Å.
Element x y z (fractional)
1 La 0.0000 0.0000 0.0000  4 N 2.23, 2 F 2.26
2 V 0.5000 0.5000 0.5000  4 F 3.16, 8 N 3.18
3 N 0.0000 0.5000 0.0000  2 La 2.23
4 N 0.5000 0.0000 0.0000  2 La 2.23
5 F 0.0000 0.0000 0.5000  2 La 2.26